# TbSc2S3

A relaxed TbSc2S3 crystal (PBE, the Alexandria database).

For the total magnetization, the calculation gives 0.0000 μB/atom. The value obtained for the volume is 228.5 Å³/cell. For the distance to the lowest polymorph of the same formula, the calculation gives 0.000 eV/f.u. The value obtained for the raw formation energy is -1.895 eV per atom. For the density of states at the Fermi level, the calculation gives 0.4826 states/eV per atom.

It has space group Immm (No. 71), with a = 3.7703 Å, b = 5.3579 Å, c = 11.3131 Å, α = 90.00°, β = 90.00° and γ = 90.00°. Symmetry generates all atoms from Tb at (0.0000, 0.0000, 0.0000), Sc at (0.0000, 0.0000, 0.3408), S at (0.0000, 0.5000, 0.0000) and S at (0.0000, 0.5000, 0.3221).